Material: KTlHgAu
Method: DFT, PBE
State: relaxed

```
KTlHgAu
1.0
-3.433 2.019 3.735
-5.362 -0.937 -0.431
-2.478 -3.353 3.526
K Tl Au Hg
1 1 1 1
Direct
0.750 0.750 0.750 K
0.250 0.250 0.250 Tl
0.000 0.000 0.000 Au
0.500 0.500 0.500 Hg
```

## Properties
Space group: F-43m, No. 216
Density of states at the Fermi level, states/eV per cell: 1.73
Energy above the lowest structure with this stoichiometry, meV/atom: 17

***

Material: KTlHg4Au2
Method: DFT, PBE
State: relaxed

```
KTlHg4Au2
1.0
4.403 0.000 0.000
0.000 4.403 0.000
0.000 0.000 12.367
K Tl Hg Au
1 1 4 2
Direct
0.000 0.000 0.000 K
0.000 0.000 0.500 Tl
0.000 0.500 0.227 Hg
0.500 0.000 0.773 Hg
0.500 0.000 0.227 Hg
0.000 0.500 0.773 Hg
0.500 0.500 0.390 Au
0.500 0.500 0.610 Au
```

## Properties
Space group: P4/mmm, No. 123
Calculated total energy, eV/atom: -1.455
Density of states at the Fermi level, states/eV per cell: 4.29

***

Material: KTlHgAu2
Method: DFT, PBE
State: relaxed

```
KTlHgAu2
1.0
-4.170 -1.899 1.286
1.981 -3.843 0.747
2.216 4.672 5.275
K Tl Hg Au
1 1 1 2
Direct
0.456 0.456 0.912 K
0.191 0.691 0.383 Tl
0.838 0.838 0.676 Hg
0.679 0.179 0.358 Au
0.048 0.048 0.096 Au
```

## Properties
Space group: Imm2, No. 44
Calculated total energy, eV/atom: -2.223
Density of states at the Fermi level, states/eV per cell: 1.86

***

Material: KTlHg2Au
Method: DFT, PBE
State: relaxed

```
KTlHg2Au
1.0
-0.684 -3.468 -3.215
4.550 0.691 -1.713
0.310 -2.954 6.671
K Tl Hg Au
1 1 2 1
Direct
0.436 0.436 0.871 K
0.197 0.697 0.395 Tl
0.703 0.203 0.406 Hg
0.046 0.046 0.092 Hg
0.830 0.830 0.660 Au
```

## Properties
Space group: Imm2, No. 44
Density of states at the Fermi level, states/eV per cell: 2.11
Energy above the lowest structure with this stoichiometry, meV/atom: 0

***

Material: KTlHgAu
Method: DFT, PBE
State: relaxed

```
KTlHgAu
1.0
5.133 0.000 0.000
-2.566 4.450 -0.006
0.000 -2.967 5.446
K Tl Hg Au
1 1 1 1
Direct
0.623 0.246 0.511 K
0.085 0.171 0.898 Tl
0.837 0.675 0.155 Hg
0.420 0.840 0.903 Au
```

## Properties
Space group: Cm, No. 8
Density of states at the Fermi level, states/eV per cell: 1.81
Energy above the lowest structure with this stoichiometry, meV/atom: 0

***

Material: K2Tl6HgAu
Method: DFT, PBE
State: relaxed

```
K2Tl6HgAu
1.0
6.660 0.000 0.000
0.000 10.839 0.000
0.000 0.000 10.046
K Tl Hg Au
4 12 2 2
Direct
0.500 0.737 0.263 K
0.000 0.263 0.763 K
0.500 0.737 0.737 K
0.000 0.263 0.237 K
0.500 0.112 0.243 Tl
0.500 0.112 0.757 Tl
0.000 0.888 0.257 Tl
0.000 0.888 0.743 Tl
0.249 0.008 0.500 Tl
0.751 0.008 0.500 Tl
0.255 0.471 0.500 Tl
0.745 0.471 0.500 Tl
0.755 0.529 0.000 Tl
0.245 0.529 0.000 Tl
0.251 0.992 0.000 Tl
0.749 0.992 0.000 Tl
0.000 0.709 0.500 Hg
0.500 0.291 0.000 Hg
0.500 0.250 0.500 Au
0.000 0.750 0.000 Au
```

## Properties
Space group: Pmmn, No. 59
Calculated total energy, eV/atom: -2.004
Density of states at the Fermi level, states/eV per cell: 11.72

***

Material: KTlHg2Au
Method: DFT, PBE
State: relaxed

```
KTlHg2Au
1.0
5.482 0.000 0.000
0.000 5.482 0.000
0.000 0.000 5.645
K Tl Au Hg
1 1 1 2
Direct
0.500 0.500 0.500 K
0.000 0.000 0.500 Tl
0.000 0.000 0.000 Au
0.000 0.500 0.000 Hg
0.500 0.000 0.000 Hg
```

## Properties
Space group: P4/mmm, No. 123
Density of states at the Fermi level, states/eV per cell: 2.99
Energy above the lowest structure with this stoichiometry, meV/atom: 104

***

Material: K2TlHg7Au2
Method: DFT, PBE
State: relaxed

```
K2TlHg7Au2
1.0
4.617 0.009 -0.076
0.015 4.617 -0.076
2.043 2.040 16.461
K Tl Hg Au
2 1 7 2
Direct
0.860 0.860 0.340 K
0.140 0.140 0.660 K
0.000 0.000 0.000 Tl
0.500 0.500 0.000 Hg
0.306 0.306 0.453 Hg
0.694 0.694 0.547 Hg
0.928 0.429 0.163 Hg
0.429 0.928 0.163 Hg
0.571 0.072 0.837 Hg
0.072 0.571 0.837 Hg
0.617 0.617 0.721 Au
0.383 0.383 0.279 Au
```

## Properties
Space group: C2/m, No. 12
Calculated total energy, eV/atom: -1.258
Density of states at the Fermi level, states/eV per cell: 2.51